5
Lattice="-2.790 1.103 2.364 1.526 -2.117 2.789 2.115 2.982 1.106" Properties=species:S:1:pos:R:3 comment="ScVO3 PBE+U optimized geometry" spacegroup="Pm-3m (221)" total_energy_ev_per_atom=-7.828 pbc="T T T"
Sc 0.426 0.984 3.129
O 0.763 -1.058 1.395
O 1.058 1.491 0.553
O -1.395 0.552 1.182
V 0.000 0.000 0.000